Material: TaCuSn2H
Method: DFT, GGA-PBE
State: optimized geometry

Cell: 4.773 4.773 3.640 Å, 90.00 90.00 90.00°
Sites, in units of the cell vectors:
Ta: 0.000 0.000 0.000
Cu: 0.500 0.500 0.000
Sn: 0.000 0.500 0.500
Sn: 0.500 0.000 0.500
H: 0.000 0.000 0.500

## Properties
* total magnetic moment: 0.000 μB/atom
* VASP energy: -25.42 eV per cell

---

Material: Y4In5Ir2
Method: DFT, GGA-PBE
State: optimized geometry

Cell: 7.687 3.671 9.661 Å, 90.00 94.12 90.00°
Sites, in units of the cell vectors:
Y: 0.174 0.000 0.351
Y: 0.218 0.000 0.943
Y: 0.782 0.000 0.057
Y: 0.826 0.000 0.649
In: 0.175 0.500 0.651
In: 0.452 0.500 0.176
In: 0.500 0.500 0.500
In: 0.548 0.500 0.824
In: 0.825 0.500 0.349
Ir: 0.074 0.500 0.141
Ir: 0.926 0.500 0.859

## Properties
* total magnetic moment: 0.000 μB/atom
* VASP energy: -63.69 eV per cell
* energy of formation: -0.584 eV per atom

---

Material: KCa2Ta3O10
Method: DFT, GGA-PBE
State: optimized geometry

Cell: 3.941 15.323 15.323 Å, 14.80 90.00 90.00°
Sites, in units of the cell vectors:
K: 0.000 0.000 0.000
Ca: 0.000 0.164 0.164
Ca: 0.000 0.315 0.315
Ta: 0.500 0.598 0.598
Ta: 0.500 0.738 0.738
Ta: 0.500 0.880 0.880
O: 0.000 0.611 0.611
O: 0.000 0.737 0.737
O: 0.000 0.865 0.865
O: 0.500 0.111 0.111
O: 0.500 0.237 0.237
O: 0.500 0.365 0.365
O: 0.500 0.539 0.539
O: 0.500 0.673 0.673
O: 0.500 0.803 0.803
O: 0.500 0.939 0.939

## Properties
* uncorrected formation energy: -2.8849 eV per atom
* total magnetic moment: 0.000 μB/atom
* VASP energy: -136.40 eV per cell

---

Material: TcS2ICl
Method: DFT, GGA-PBE
State: optimized geometry

Cell: 4.678 4.678 4.871 Å, 90.00 90.00 90.00°
Sites, in units of the cell vectors:
Tc: 0.000 0.000 0.000
S: 0.000 0.500 0.000
S: 0.500 0.000 0.000
I: 0.500 0.500 0.500
Cl: 0.000 0.000 0.500

## Properties
* uncorrected formation energy: 0.1574 eV per atom
* excess energy over the best structure of this formula in the dataset: 0.0000 eV per atom
* total magnetic moment: 0.000 μB/atom
* VASP energy: -21.23 eV per cell

---

Material: Ta2CdAs
Method: DFT, GGA-PBE
State: optimized geometry

Cell: 5.115 5.115 5.115 Å, 131.83 131.83 70.50°
Sites, in units of the cell vectors:
Ta: 0.250 0.750 0.500
Ta: 0.750 0.250 0.500
Cd: 0.000 0.000 0.000
As: 0.500 0.500 0.000

## Properties
* excess energy over the best structure of this formula in the dataset: 0.3075 eV per atom
* total magnetic moment: 0.000 μB/atom
* VASP energy: -27.91 eV per cell
* energy of formation: 0.340 eV per atom

---

Material: TlP2Pd
Method: DFT, GGA-PBE
State: optimized geometry

Cell: 4.680 4.680 4.680 Å, 60.00 60.00 60.00°
Sites, in units of the cell vectors:
Tl: 0.000 0.000 0.000
P: 0.250 0.250 0.250
P: 0.750 0.750 0.750
Pd: 0.500 0.500 0.500

## Properties
* excess energy over the best structure of this formula in the dataset: 0.4051 eV per atom
* total magnetic moment: 0.000 μB/atom
* VASP energy: -16.32 eV per cell
* energy of formation: 0.514 eV per atom

---

Material: In5Bi6
Method: DFT, GGA-PBE
State: optimized geometry

Cell: 10.120 10.120 4.529 Å, 102.65 102.65 123.06°
Sites, in units of the cell vectors:
In: 0.000 0.000 0.000
In: 0.138 0.862 0.500
In: 0.265 0.735 0.000
In: 0.735 0.265 0.000
In: 0.862 0.138 0.500
Bi: 0.167 0.442 0.300
Bi: 0.313 0.313 0.813
Bi: 0.442 0.167 0.300
Bi: 0.558 0.833 0.700
Bi: 0.687 0.687 0.187
Bi: 0.833 0.558 0.700

## Properties
* total magnetic moment: 0.000 μB/atom
* VASP energy: -36.39 eV per cell
* energy of formation: 0.054 eV per atom

---

Material: SrAsPd3
Method: DFT, GGA-PBE
State: optimized geometry

Cell: 8.945 8.945 8.945 Å, 144.65 144.65 50.85°
Sites, in units of the cell vectors:
Sr: 0.142 0.142 0.000
Sr: 0.858 0.858 0.000
As: 0.250 0.750 0.500
As: 0.500 0.500 0.000
Pd: 0.373 0.128 0.754
Pd: 0.373 0.619 0.246
Pd: 0.381 0.627 0.754
Pd: 0.525 0.025 0.500
Pd: 0.872 0.627 0.246
Pd: 0.975 0.475 0.500

## Properties
* excess energy over the best structure of this formula in the dataset: 0.0786 eV per atom
* total magnetic moment: 0.000 μB/atom
* VASP energy: -48.32 eV per cell
* energy of formation: -0.450 eV per atom

---

Q: Which formula does entry 3 have?
A: KCa2Ta3O10

---

Q: Which of these has the highest VASP energy?
A: TlP2Pd

---

Q: Which formula does entry 6 have?
A: TlP2Pd